# 1
# PBE TiPN3, relaxed
# Formation energy (no corrections)   -0.499 eV per atom
data_TiPN3
_space_group_name_H-M_alt 'P n m a'
_space_group_IT_number 62
_space_group_name_Hall '-P 2ac 2n'
_cell_length_a 5.0394
_cell_length_b 6.9256
_cell_length_c 4.7691
_cell_angle_alpha 90.00
_cell_angle_beta 90.00
_cell_angle_gamma 90.00
loop_
_atom_site_label
_atom_site_type_symbol
_atom_site_fract_x
_atom_site_fract_y
_atom_site_fract_z
Ti1 Ti 0.0771 0.2500 0.0223
P1 P 0.0000 0.0000 0.5000
N1 N 0.0362 0.7500 0.3801
N2 N 0.1939 0.5601 0.8075

=====

# 2
# PBE PmNd2ThP4, relaxed
# Formation enthalpy at 0 K   -1.58 eV per atom
data_PmNd2ThP4
_space_group_name_H-M_alt 'P 1 2/m 1'
_space_group_IT_number 10
_space_group_name_Hall '-P 2y'
_cell_length_a 7.1857
_cell_length_b 4.1553
_cell_length_c 7.1911
_cell_angle_alpha 90.00
_cell_angle_beta 109.43
_cell_angle_gamma 90.00
loop_
_atom_site_label
_atom_site_type_symbol
_atom_site_fract_x
_atom_site_fract_y
_atom_site_fract_z
Pm1 Pm 0.0000 0.0000 0.0000
Nd1 Nd 0.0000 0.5000 0.5000
Nd2 Nd 0.5000 0.0000 0.5000
Th1 Th 0.5000 0.5000 0.0000
P1 P 0.2507 0.5000 0.2464
P2 P 0.2525 0.0000 0.7540

=====

Magnetic moment values (in μB per formula unit) by entry order: 0.000 0.000.
Electronic total energy values (in eV per cell) by entry order: -163.09 -55.97.
DOS(E_F) values (in states/eV/f.u.) by entry order: 0.00 1.54.